(1)
ReOs3 | PBE | optimized geometry

abc: 8.6950 3.8581 7.7157
angles: 90.00 116.32 90.00
Closest atoms and distances in Å follow each position.
Space group C2/m (No. 12)
Unique sites:
Re (0.1234, 0.0000, 0.4357) x4  9 Os 2.72-2.76, 3 Re 2.73-2.76
Os (0.1238, 0.0000, 0.9368) x4  1 Re 2.72, 11 Os 2.73-2.76
Os (0.1241, 0.5000, 0.6869) x4  5 Re 2.73-2.75, 7 Os 2.73-2.75
Os (0.1248, 0.5000, 0.1878) x4  3 Re 2.72-2.76, 9 Os 2.73-2.75

Computed properties:
The calculated formation energy comes out at 0.10 eV/atom. The total DFT energy (no corrections) is -182.90 eV for the cell shown.

=====

(2)
NbTcAu3 | PBE | optimized geometry

abc: 5.0756 5.0756 5.0756
angles: 90.00 90.00 90.00
Closest atoms and distances in Å follow each position.
Space group Pm-3m (No. 221)
Unique sites:
Nb (0.0000, 0.0000, 0.0000) x1  6 Au 2.54
Tc (0.5000, 0.5000, 0.5000) x1  12 Au 3.59
Au (0.0000, 0.0000, 0.5000) x3  2 Nb 2.54

Computed properties:
The calculated formation energy comes out at 1.54 eV/atom. The total DFT energy (no corrections) is -22.59 eV for the cell shown.

=====

| no. | offset from the most stable computed form (meV per atom) |
| --- | --- |
| 1 | 186 |
| 2 | 0 |